The following is a PBE-GGA calculation of a relaxed Sm3Ho3Pd2 crystal, from the Alexandria database.

Results
VASP energy	-165.07	eV for the cell shown
crystal system	monoclinic
energy relative to the elements	-0.374	eV per atom
M_tot	0.0	Bohr magnetons per cell

Unit cell a=13.077 b=3.830 c=18.359 alpha=90.00 beta=96.90 gamma=90.00
Space group C2/m (No. 12)
Asymmetric unit:
Sm 0.038 0.000 0.394 [4 per cell]
Sm 0.066 0.000 0.087 [4 per cell]
Sm 0.179 0.500 0.739 [4 per cell]
Ho 0.087 0.500 0.244 [4 per cell]
Ho 0.160 0.500 0.542 [4 per cell]
Ho 0.161 0.500 0.944 [4 per cell]
Pd 0.230 0.500 0.371 [4 per cell]
Pd 0.235 0.500 0.135 [4 per cell]

=====

The following is a PBE-GGA calculation of a relaxed Sm2HoPd9 crystal, from the Alexandria database.

Results
VASP energy	-70.72	eV for the cell shown
crystal system	tetragonal
energy relative to the elements	-0.831	eV per atom
M_tot	0.0	Bohr magnetons per cell

Unit cell a=4.157 b=4.157 c=12.442 alpha=90.00 beta=90.00 gamma=90.00
Space group P4/mmm (No. 123)
Asymmetric unit:
Sm 0.000 0.000 0.169 [2 per cell]
Ho 0.000 0.000 0.500 [1 per cell]
Pd 0.000 0.500 0.000 [2 per cell]
Pd 0.000 0.500 0.337 [4 per cell]
Pd 0.500 0.500 0.168 [2 per cell]
Pd 0.500 0.500 0.500 [1 per cell]